Record 1
# SrTiGa2

Crystalline SrTiGa2 at its relaxed geometry (PBE-GGA, Alexandria via LeMat-Bulk).

Properties
space group = No. 123

POSCAR file:
```
SrTiGa2
1.0
-1.3729 -2.2659 2.2980
-2.0752 -1.2928 -2.5144
4.9815 -4.7244 -1.6822
Ti Sr Ga
1 1 2
Direct
0.5000 0.5000 0.0000 Ti
0.5000 0.5000 0.5000 Sr
0.0000 0.0000 0.1883 Ga
0.0000 0.0000 0.8117 Ga
```

Record 2
# La2MgPb

Crystalline La2MgPb at its relaxed geometry (PBE-GGA, Alexandria via LeMat-Bulk).

Properties
space group = No. 123

POSCAR file:
```
La2MgPb
1.0
-1.8495 4.6063 -1.6405
-4.2427 -1.6837 0.0556
-0.5493 1.5465 4.9618
Pb La Mg
1 2 1
Direct
0.5000 0.6250 0.8752 Pb
0.0000 0.1253 0.8750 La
0.5000 0.1247 0.3752 La
0.0000 0.6250 0.3746 Mg
```

| no. | calculated formation energy (meV/atom) |
| --- | --- |
| 1 | -273 |
| 2 | -391 |